{"formula": "Al2PtRh", "functional": "PBE", "state": "optimized geometry", "cell": [[-2.2406, -1.8455, 3.3744], [2.4999, -3.6320, 0.6094], [1.5119, 4.1850, -0.1102]], "species": ["Al", "Rh", "Pt", "Al"], "frac_coords": [[0.0000, 0.0000, 0.0000], [0.7500, 0.2500, 0.5000], [0.2500, 0.7500, 0.5000], [0.5000, 0.5000, 0.0000]], "formation_energy_kj_per_mol_atoms": -99, "density_g_cm3": 10.355, "e_tot_ev_per_atom": -6.2419, "sg": "I4/mmm (139)"}

***

{"formula": "Al2PtRh", "functional": "PBE", "state": "optimized geometry", "cell": [[4.3820, 0.0000, 0.0000], [2.1910, 3.7949, 0.0000], [2.1910, 1.2650, 3.5779]], "species": ["Pt", "Al", "Al", "Rh"], "frac_coords": [[0.5000, 0.5000, 0.5000], [0.7500, 0.7500, 0.7500], [0.0000, 0.0000, 0.0000], [0.2500, 0.2500, 0.2500]], "formation_energy_kj_per_mol_atoms": -50, "density_g_cm3": 9.823, "e_tot_ev_per_atom": -5.7341, "sg": "F-43m (216)"}

***

{"formula": "Al2PtRh", "functional": "PBE", "state": "optimized geometry", "cell": [[-3.8809, -0.8848, -1.8649], [4.9722, -4.1381, 0.5706], [-0.3536, -2.2925, 1.8328]], "species": ["Al", "Al", "Rh", "Pt"], "frac_coords": [[0.0000, 0.0000, 0.0000], [0.0000, 0.5000, 0.5000], [0.5000, 0.0000, 0.5000], [0.5000, 0.5000, 0.0000]], "formation_energy_kj_per_mol_atoms": -98, "density_g_cm3": 10.328, "e_tot_ev_per_atom": -6.2343, "sg": "Cmmm (65)"}

***

{"formula": "Al2Pt3Rh", "functional": "PBE", "state": "optimized geometry", "cell": [[5.0123, 0.0000, -2.0809], [-0.8668, 4.8841, -2.0879], [0.1458, 0.2361, 7.4283]], "species": ["Pt", "Al", "Pt", "Rh", "Pt", "Pt", "Al", "Pt", "Rh", "Pt", "Al", "Al"], "frac_coords": [[0.5000, 0.2500, 0.0000], [0.8796, 0.6331, 0.2662], [0.0532, 0.8235, 0.6471], [0.0000, 0.7500, 0.0000], [0.4061, 0.6765, 0.3529], [0.5000, 0.7500, 0.0000], [0.1204, 0.3669, 0.7338], [0.9468, 0.1765, 0.3529], [0.0000, 0.2500, 0.0000], [0.5939, 0.3235, 0.6471], [0.3866, 0.1331, 0.2662], [0.6134, 0.8669, 0.7338]], "formation_energy_kj_per_mol_atoms": -62, "density_g_cm3": 13.234, "e_tot_ev_per_atom": -6.1346, "sg": "Ibam (72)"}